Tb2RuS: optimized geometry, PBE.

## Properties
calculated total energy: -6.64 eV per atom
raw formation energy: -0.98 eV per atom
mass density: 8.5 g/cm3
energy relative to the lowest polymorph listed for this composition: 0.036 eV per atom

extended XYZ file:
```
4
Lattice="3.698 0.000 0.000 1.849 3.203 0.000 1.849 1.068 7.462" Properties=species:S:1:pos:R:3 pbc="T T T"
Ru 3.698 2.135 3.731
S 0.000 0.000 0.000
Tb 5.547 3.203 5.617
Tb 1.849 1.068 1.844
```

TcRuS3: optimized geometry, PBE.

## Properties
calculated total energy: -5.51 eV per atom
raw formation energy: 0.89 eV per atom
mass density: 5.0 g/cm3

extended XYZ file:
```
5
Lattice="-1.929 -4.185 -0.267 4.052 -1.936 1.069 -1.081 0.212 4.483" Properties=species:S:1:pos:R:3 pbc="T T T"
Ru 0.000 0.000 0.000
S 2.026 -0.968 0.534
S -0.540 0.106 2.241
S -0.964 -2.093 -0.133
Tc 0.521 -2.954 2.642
```

TcRu2S: optimized geometry, PBE.

## Properties
calculated total energy: -7.77 eV per atom
raw formation energy: 0.49 eV per atom
mass density: 7.2 g/cm3
energy relative to the lowest polymorph listed for this composition: 0.000 eV per atom

extended XYZ file:
```
8
Lattice="5.395 0.000 0.000 0.000 5.395 0.000 2.698 2.698 5.268" Properties=species:S:1:pos:R:3 pbc="T T T"
Ru 3.928 1.349 1.317
Ru 1.467 4.047 1.317
Ru 4.047 4.165 3.951
Ru 6.744 6.626 3.951
S 2.698 2.698 0.000
S 2.698 5.395 2.634
Tc 0.000 0.000 0.000
Tc 5.395 2.698 2.634
```

TcRu3S: optimized geometry, PBE.

## Properties
calculated total energy: -7.66 eV per atom
raw formation energy: 0.80 eV per atom
mass density: 9.0 g/cm3
energy relative to the lowest polymorph listed for this composition: 0.000 eV per atom

extended XYZ file:
```
5
Lattice="-1.451 -1.237 -3.863 4.030 0.020 -1.521 0.455 -4.126 1.151" Properties=species:S:1:pos:R:3 pbc="T T T"
Ru 2.015 0.010 -0.760
Ru 0.227 -2.063 0.576
Ru -0.726 -0.619 -1.931
S 0.000 0.000 0.000
Tc 1.517 -2.672 -2.116
```

TcRuS: optimized geometry, PBE.

## Properties
calculated total energy: -7.91 eV per atom
raw formation energy: 0.02 eV per atom
mass density: 9.1 g/cm3

extended XYZ file:
```
6
Lattice="2.866 0.000 0.000 -1.433 2.482 0.000 0.000 0.000 11.806" Properties=species:S:1:pos:R:3 pbc="T T T"
Tc 0.000 2.205 0.000
Tc 0.000 2.207 5.903
S 1.433 1.380 4.123
S 1.433 1.380 7.683
Ru 0.000 0.550 9.744
Ru 0.000 0.550 2.062
```

Tc2RuS: optimized geometry, PBE.

## Properties
calculated total energy: -8.20 eV per atom
raw formation energy: 0.34 eV per atom
mass density: 9.8 g/cm3
energy relative to the lowest polymorph listed for this composition: 0.000 eV per atom

extended XYZ file:
```
4
Lattice="0.938 1.705 3.819 -2.525 -0.782 3.374 1.393 -2.509 3.183" Properties=species:S:1:pos:R:3 pbc="T T T"
Ru -0.097 -0.793 5.188
S 0.000 0.000 0.000
Tc -0.048 -0.397 2.594
Tc -0.145 -1.190 7.782
```

Tc2RuS: optimized geometry, PBE.

## Properties
calculated total energy: -8.02 eV per atom
raw formation energy: 0.51 eV per atom
mass density: 7.1 g/cm3
energy relative to the lowest polymorph listed for this composition: 0.174 eV per atom

extended XYZ file:
```
8
Lattice="5.449 0.000 0.000 0.000 5.449 0.000 2.725 2.725 5.205" Properties=species:S:1:pos:R:3 pbc="T T T"
Ru 0.000 0.000 0.000
Ru 5.449 2.725 2.602
S 2.725 2.725 0.000
S 2.725 5.449 2.602
Tc 3.992 1.362 1.301
Tc 1.458 4.087 1.301
Tc 4.087 4.182 3.904
Tc 6.811 6.716 3.904
```

TcRu3S: optimized geometry, PBE.

## Properties
calculated total energy: -6.58 eV per atom
raw formation energy: 1.88 eV per atom
mass density: 7.1 g/cm3
energy relative to the lowest polymorph listed for this composition: 1.079 eV per atom

extended XYZ file:
```
5
Lattice="4.662 0.000 0.000 0.000 4.662 0.000 0.000 0.000 4.662" Properties=species:S:1:pos:R:3 pbc="T T T"
Ru 0.000 2.331 0.000
Ru 0.000 0.000 2.331
Ru 2.331 0.000 0.000
S 2.331 2.331 2.331
Tc 0.000 0.000 0.000
```

TcRu2S: optimized geometry, PBE.

## Properties
calculated total energy: -7.64 eV per atom
raw formation energy: 0.62 eV per atom
mass density: 9.7 g/cm3
energy relative to the lowest polymorph listed for this composition: 0.127 eV per atom

extended XYZ file:
```
4
Lattice="0.000 3.053 3.053 3.053 0.000 3.053 3.053 3.053 0.000" Properties=species:S:1:pos:R:3 pbc="T T T"
Ru 1.527 1.527 1.527
Ru 4.580 4.580 4.580
S 0.000 0.000 0.000
Tc 3.053 3.053 3.053
```

TcTeRuS2: optimized geometry, PBE.

## Properties
calculated total energy: -5.39 eV per atom
raw formation energy: 0.82 eV per atom
mass density: 5.7 g/cm3

extended XYZ file:
```
5
Lattice="4.461 0.000 0.000 0.000 5.710 0.000 0.000 0.000 4.461" Properties=species:S:1:pos:R:3 pbc="T T T"
Ru 0.000 0.000 0.000
S 0.000 0.000 2.231
S 2.231 0.000 0.000
Te 0.000 2.855 0.000
Tc 2.231 2.855 2.231
```

Th4TcRuS2: optimized geometry, PBE.

## Properties
calculated total energy: -8.17 eV per atom
raw formation energy: -0.98 eV per atom
mass density: 9.7 g/cm3

extended XYZ file:
```
8
Lattice="4.055 0.000 0.000 0.000 7.508 -0.329 0.000 2.476 6.577" Properties=species:S:1:pos:R:3 pbc="T T T"
Th 0.000 7.313 4.741
Th 4.055 2.671 1.507
Th 2.028 6.102 1.469
Th 2.028 3.883 4.779
Tc 0.000 4.992 3.124
Ru 2.028 3.754 -0.165
S 0.000 2.476 6.577
S 2.028 1.238 3.289
```

Tl2TcRuS: optimized geometry, PBE.

## Properties
calculated total energy: -4.68 eV per atom
raw formation energy: 1.02 eV per atom
mass density: 8.4 g/cm3

extended XYZ file:
```
5
Lattice="5.407 0.000 0.000 0.000 4.341 0.000 0.000 0.000 5.407" Properties=species:S:1:pos:R:3 pbc="T T T"
S 0.000 2.170 0.000
Ru 2.703 2.170 2.703
Tl 0.000 0.000 2.703
Tl 2.703 0.000 0.000
Tc 0.000 0.000 0.000
```

TlTc2RuS: optimized geometry, PBE.

## Properties
calculated total energy: -4.67 eV per atom
raw formation energy: 2.63 eV per atom
mass density: 6.7 g/cm3

extended XYZ file:
```
5
Lattice="-1.635 4.893 -0.505 -2.126 -0.250 4.459 4.386 1.691 2.186" Properties=species:S:1:pos:R:3 pbc="T T T"
S -1.063 -0.125 2.230
Ru 0.313 3.167 3.070
Tl 0.000 0.000 0.000
Tc 2.193 0.845 1.093
Tc -0.817 2.447 -0.252
```

Te3RuS: optimized geometry, PBE.

## Properties
calculated total energy: -3.88 eV per atom
raw formation energy: 0.69 eV per atom
mass density: 6.2 g/cm3
energy relative to the lowest polymorph listed for this composition: 0.000 eV per atom

extended XYZ file:
```
5
Lattice="-4.092 -3.096 -0.574 3.135 -3.920 -1.211 0.290 -1.308 4.986" Properties=species:S:1:pos:R:3 pbc="T T T"
Ru 0.000 0.000 0.000
S -0.333 -4.162 1.601
Te 1.568 -1.960 -0.605
Te 0.145 -0.654 2.493
Te -2.046 -1.548 -0.287
```

Te3RuS: optimized geometry, PBE.

## Properties
calculated total energy: -3.42 eV per atom
raw formation energy: 1.15 eV per atom
mass density: 6.2 g/cm3
energy relative to the lowest polymorph listed for this composition: 0.464 eV per atom

extended XYZ file:
```
5
Lattice="5.174 0.000 0.000 0.000 5.174 0.000 0.000 0.000 5.174" Properties=species:S:1:pos:R:3 pbc="T T T"
Ru 2.587 2.587 2.587
S 0.000 0.000 0.000
Te 0.000 2.587 0.000
Te 0.000 0.000 2.587
Te 2.587 0.000 0.000
```

TeRu3S: optimized geometry, PBE.

## Properties
calculated total energy: -6.48 eV per atom
raw formation energy: 0.54 eV per atom
mass density: 8.9 g/cm3
energy relative to the lowest polymorph listed for this composition: 0.000 eV per atom

extended XYZ file:
```
5
Lattice="4.427 0.000 0.000 0.000 4.427 0.000 0.000 0.000 4.427" Properties=species:S:1:pos:R:3 pbc="T T T"
Ru 0.000 2.214 0.000
Ru 0.000 0.000 2.214
Ru 2.214 0.000 0.000
S 0.000 0.000 0.000
Te 2.214 2.214 2.214
```

TeRuS: optimized geometry, PBE.

## Properties
calculated total energy: -5.62 eV per atom
raw formation energy: -0.11 eV per atom
mass density: 6.6 g/cm3
energy relative to the lowest polymorph listed for this composition: 0.149 eV per atom

extended XYZ file:
```
6
Lattice="-0.688 -4.134 -1.191 4.269 -0.804 0.326 -0.839 -1.769 6.621" Properties=species:S:1:pos:R:3 pbc="T T T"
S -0.573 -1.403 4.952
S -0.154 -0.519 1.642
Ru -0.497 -2.586 1.046
Ru 1.562 -1.806 5.115
Te 1.847 -2.546 -0.446
Te 1.428 -3.431 2.864
```

TeRu2S: optimized geometry, PBE.

## Properties
calculated total energy: -6.10 eV per atom
raw formation energy: 0.35 eV per atom
mass density: 9.4 g/cm3
energy relative to the lowest polymorph listed for this composition: 0.331 eV per atom

extended XYZ file:
```
4
Lattice="0.000 3.174 3.174 3.174 0.000 3.174 3.174 3.174 0.000" Properties=species:S:1:pos:R:3 pbc="T T T"
Ru 1.587 1.587 1.587
Ru 4.760 4.760 4.760
S 0.000 0.000 0.000
Te 3.174 3.174 3.174
```

TeRu2S: optimized geometry, PBE.

## Properties
calculated total energy: -6.44 eV per atom
raw formation energy: 0.02 eV per atom
mass density: 7.2 g/cm3
energy relative to the lowest polymorph listed for this composition: 0.000 eV per atom

extended XYZ file:
```
8
Lattice="-0.560 -3.182 -4.228 1.540 -4.166 2.931 -5.130 -4.690 0.860" Properties=species:S:1:pos:R:3 pbc="T T T"
Ru -1.404 -3.479 -1.792
Ru -0.426 -4.376 1.249
Ru -3.382 -6.538 0.345
Ru -3.088 -9.681 -0.676
S 0.490 -3.674 -0.648
S -1.550 -6.265 1.572
Te 0.000 0.000 0.000
Te -2.600 -5.773 -2.008
```

TeRu3S: optimized geometry, PBE.

## Properties
calculated total energy: -5.25 eV per atom
raw formation energy: 1.76 eV per atom
mass density: 6.7 g/cm3
energy relative to the lowest polymorph listed for this composition: 1.224 eV per atom

extended XYZ file:
```
5
Lattice="-0.654 -3.656 3.151 3.656 -2.451 -2.085 3.151 2.086 3.074" Properties=species:S:1:pos:R:3 pbc="T T T"
Ru 1.828 -1.226 -1.043
Ru 1.575 1.043 1.537
Ru -0.327 -1.828 1.576
S 3.077 -2.011 2.070
Te 0.000 0.000 0.000
```

TeRuS3: optimized geometry, PBE.

## Properties
calculated total energy: -4.60 eV per atom
raw formation energy: 0.36 eV per atom
mass density: 5.5 g/cm3
energy relative to the lowest polymorph listed for this composition: 0.000 eV per atom

extended XYZ file:
```
5
Lattice="4.626 0.000 0.000 0.000 4.626 0.000 0.000 0.000 4.626" Properties=species:S:1:pos:R:3 pbc="T T T"
Ru 0.000 0.000 0.000
S 0.000 2.313 0.000
S 0.000 0.000 2.313
S 2.313 0.000 0.000
Te 2.313 2.313 2.313
```

TeRuS: optimized geometry, PBE.

## Properties
calculated total energy: -5.77 eV per atom
raw formation energy: -0.25 eV per atom
mass density: 7.2 g/cm3
energy relative to the lowest polymorph listed for this composition: 0.000 eV per atom

extended XYZ file:
```
12
Lattice="6.095 0.438 -1.889 -2.893 5.383 -1.889 -0.145 -0.264 7.201" Properties=species:S:1:pos:R:3 pbc="T T T"
Te 1.559 5.084 -1.915
Te -1.194 5.401 0.105
Te 1.140 5.143 1.685
Te 2.881 2.988 3.705
Ru 3.168 5.479 0.114
Ru -0.835 3.524 5.304
Ru 1.249 2.550 1.704
Ru 3.650 1.594 -1.597
S -0.352 2.062 3.488
S -0.244 2.175 -0.112
S 1.448 0.013 5.722
S 3.157 3.036 0.232
```

Th4Te2RuS: optimized geometry, PBE.

## Properties
calculated total energy: -7.33 eV per atom
raw formation energy: -1.16 eV per atom
mass density: 9.6 g/cm3

extended XYZ file:
```
8
Lattice="-0.256 -2.769 3.041 1.304 -5.441 -4.845 6.909 2.439 2.803" Properties=species:S:1:pos:R:3 pbc="T T T"
Th 1.635 -2.160 0.963
Th 6.322 -3.612 0.036
Th 5.856 0.421 0.877
Th 2.357 -3.423 -2.919
Te 3.327 -0.165 2.922
Te 4.107 -1.501 -1.021
Ru 0.524 -4.105 -0.902
S 0.000 0.000 0.000
```

Th6Te3Ru2S: optimized geometry, PBE.

## Properties
calculated total energy: -7.45 eV per atom
raw formation energy: -1.07 eV per atom
mass density: 9.6 g/cm3

extended XYZ file:
```
12
Lattice="-3.991 4.327 4.317 3.857 -5.474 2.907 5.945 4.983 -1.550" Properties=species:S:1:pos:R:3 pbc="T T T"
Th 3.253 4.805 4.476
Th 1.120 0.195 4.873
Th 2.558 -0.969 1.197
Th 5.994 1.381 3.984
Th 4.691 3.641 0.801
Th -0.183 2.455 1.690
Te 5.564 -1.403 2.359
Te 0.246 5.239 3.315
Te 2.905 1.918 2.837
Ru 1.245 -2.213 3.376
Ru -1.380 1.065 3.848
S 0.000 0.000 0.000
```

Th6TeRu3S2: optimized geometry, PBE.

## Properties
calculated total energy: -8.00 eV per atom
raw formation energy: -1.02 eV per atom
mass density: 9.8 g/cm3

extended XYZ file:
```
12
Lattice="-3.060 1.106 2.480 0.720 -7.614 4.283 7.171 5.775 2.899" Properties=species:S:1:pos:R:3 pbc="T T T"
Th 4.287 -3.047 6.649
Th 0.740 -1.921 5.143
Th 0.543 2.314 3.013
Th 4.240 4.663 6.527
Th 0.590 -5.396 3.135
Th 4.091 1.188 4.518
Te -1.530 0.553 1.240
Ru -1.170 -3.254 3.381
Ru 2.351 3.449 4.737
Ru 2.480 -4.183 4.925
S 2.697 -0.316 6.843
S 2.133 -0.417 2.818
```

TiTe2RuS: optimized geometry, PBE.

## Properties
calculated total energy: -5.04 eV per atom
raw formation energy: 0.48 eV per atom
mass density: 5.6 g/cm3
energy relative to the lowest polymorph listed for this composition: 0.160 eV per atom

extended XYZ file:
```
5
Lattice="-2.474 3.784 -2.974 -3.595 -0.329 2.572 1.975 3.847 3.253" Properties=species:S:1:pos:R:3 pbc="T T T"
Ru -2.047 3.651 1.426
S -1.798 -0.164 1.286
Te 0.988 1.924 1.626
Te -1.237 1.892 -1.487
Ti 0.000 0.000 0.000
```

TiTe2RuS: optimized geometry, PBE.

## Properties
calculated total energy: -5.20 eV per atom
raw formation energy: 0.32 eV per atom
mass density: 5.8 g/cm3
energy relative to the lowest polymorph listed for this composition: 0.000 eV per atom

extended XYZ file:
```
5
Lattice="-1.149 5.310 -0.327 -3.882 -0.745 1.543 1.873 0.717 5.059" Properties=species:S:1:pos:R:3 pbc="T T T"
Ru 0.000 0.000 0.000
S -1.941 -0.372 0.771
Te 0.937 0.359 2.530
Te -0.574 2.655 -0.164
Ti -1.579 2.641 3.137
```